Arrangement one

A PBEsol-optimized structure of AlCdBr. Source: the Alexandria database, functional SCAN.

a = 7.311 Å, b = 7.311 Å, c = 7.311 Å
α = 90.00°, β = 90.00°, γ = 90.00°
Sites, in units of the cell vectors:
Al: 0.000 0.000 0.000
Al: 0.000 0.500 0.500
Al: 0.500 0.000 0.500
Al: 0.500 0.500 0.000
Cd: 0.000 0.000 0.500
Cd: 0.000 0.500 0.000
Cd: 0.500 0.000 0.000
Cd: 0.500 0.500 0.500
Br: 0.250 0.250 0.750
Br: 0.250 0.750 0.250
Br: 0.750 0.250 0.250
Br: 0.750 0.750 0.750

Output
Space-group type = F-43m (216)
Total magnetic moment = 0.00 μB/cell

=====

Arrangement two

A PBEsol-optimized structure of AlCdBr. Source: the Alexandria database, functional SCAN.

a = 3.452 Å, b = 3.452 Å, c = 11.273 Å
α = 90.00°, β = 90.00°, γ = 90.00°
Sites, in units of the cell vectors:
Al: 0.000 0.000 0.000
Al: 0.500 0.500 0.500
Cd: 0.000 0.000 0.639
Cd: 0.500 0.500 0.139
Br: 0.000 0.000 0.339
Br: 0.500 0.500 0.839

Output
Space-group type = I4mm (107)
Total magnetic moment = 0.00 μB/cell

=====

Which one is most stable, and which one is least stable? arrangement two is the most stable of them, while arrangement one is the least stable.

=====

Arrangement one

A PBEsol-optimized structure of Al3CdBr. Source: the Alexandria database, functional SCAN.

a = 5.226 Å, b = 5.226 Å, c = 5.226 Å
α = 90.00°, β = 90.00°, γ = 90.00°
Sites, in units of the cell vectors:
Al: 0.000 0.000 0.500
Al: 0.000 0.500 0.000
Al: 0.500 0.000 0.000
Cd: 0.500 0.500 0.500
Br: 0.000 0.000 0.000

Output
Space-group type = Pm-3m (221)
Total magnetic moment = 0.00 μB/cell

=====

Arrangement two

A PBEsol-optimized structure of Al3CdBr. Source: the Alexandria database, functional SCAN.

a = 5.107 Å, b = 5.107 Å, c = 5.107 Å
α = 90.00°, β = 90.00°, γ = 90.00°
Sites, in units of the cell vectors:
Al: 0.000 0.000 0.500
Al: 0.000 0.500 0.000
Al: 0.500 0.000 0.000
Cd: 0.000 0.000 0.000
Br: 0.500 0.500 0.500

Output
Space-group type = Pm-3m (221)
Total magnetic moment = 0.00 μB/cell

=====

Which one is most stable, and which one is least stable? arrangement two is the most stable of them, while arrangement one is the least stable.

=====

Arrangement one

A PBEsol-optimized structure of AlCd2Br. Source: the Alexandria database, functional SCAN.

a = 7.283 Å, b = 7.283 Å, c = 7.283 Å
α = 90.00°, β = 90.00°, γ = 90.00°
Sites, in units of the cell vectors:
Al: 0.000 0.000 0.000
Al: 0.000 0.500 0.500
Al: 0.500 0.000 0.500
Al: 0.500 0.500 0.000
Cd: 0.000 0.000 0.500
Cd: 0.000 0.500 0.000
Cd: 0.250 0.250 0.250
Cd: 0.250 0.750 0.750
Cd: 0.500 0.000 0.000
Cd: 0.500 0.500 0.500
Cd: 0.750 0.250 0.750
Cd: 0.750 0.750 0.250
Br: 0.250 0.250 0.750
Br: 0.250 0.750 0.250
Br: 0.750 0.250 0.250
Br: 0.750 0.750 0.750

Output
Space-group type = F-43m (216)
Total magnetic moment = 0.00 μB/cell

=====

Arrangement two

A PBEsol-optimized structure of AlCd2Br. Source: the Alexandria database, functional SCAN.

a = 6.889 Å, b = 6.889 Å, c = 10.428 Å
α = 90.00°, β = 90.00°, γ = 90.00°
Sites, in units of the cell vectors:
Al: 0.000 0.000 0.000
Al: 0.000 0.500 0.250
Al: 0.500 0.000 0.750
Al: 0.500 0.500 0.500
Cd: 0.226 0.250 0.125
Cd: 0.250 0.726 0.375
Cd: 0.250 0.774 0.875
Cd: 0.274 0.250 0.625
Cd: 0.726 0.750 0.625
Cd: 0.750 0.226 0.875
Cd: 0.750 0.274 0.375
Cd: 0.774 0.750 0.125
Br: 0.000 0.000 0.500
Br: 0.000 0.500 0.750
Br: 0.500 0.000 0.250
Br: 0.500 0.500 0.000

Output
Space-group type = I-42d (122)
Total magnetic moment = 0.00 μB/cell

=====

Which one is most stable, and which one is least stable? arrangement two is the most stable of them, while arrangement one is the least stable.

=====

Arrangement one

A PBEsol-optimized structure of AlCrBr. Source: the Alexandria database, functional SCAN.

a = 6.320 Å, b = 6.320 Å, c = 6.320 Å
α = 90.00°, β = 90.00°, γ = 90.00°
Sites, in units of the cell vectors:
Al: 0.000 0.000 0.000
Al: 0.000 0.500 0.500
Al: 0.500 0.000 0.500
Al: 0.500 0.500 0.000
Cr: 0.250 0.250 0.750
Cr: 0.250 0.750 0.250
Cr: 0.750 0.250 0.250
Cr: 0.750 0.750 0.750
Br: 0.000 0.000 0.500
Br: 0.000 0.500 0.000
Br: 0.500 0.000 0.000
Br: 0.500 0.500 0.500

Output
Space-group type = F-43m (216)
Total magnetic moment = 15.81 μB/cell

=====

Arrangement two

A PBEsol-optimized structure of AlCrBr. Source: the Alexandria database, functional SCAN.

a = 3.175 Å, b = 3.175 Å, c = 11.129 Å
α = 90.00°, β = 90.00°, γ = 90.00°
Sites, in units of the cell vectors:
Al: 0.000 0.000 0.000
Al: 0.500 0.500 0.500
Cr: 0.000 0.000 0.377
Cr: 0.500 0.500 0.877
Br: 0.000 0.000 0.723
Br: 0.500 0.500 0.223

Output
Space-group type = I4mm (107)
Total magnetic moment = 8.06 μB/cell

=====

Which one is most stable, and which one is least stable? arrangement two is the most stable of them, while arrangement one is the least stable.

=====

Arrangement one

A PBEsol-optimized structure of Al2CuBr. Source: the Alexandria database, functional SCAN.

a = 4.889 Å, b = 4.889 Å, c = 2.974 Å
α = 90.00°, β = 90.00°, γ = 90.00°
Sites, in units of the cell vectors:
Al: 0.000 0.500 0.000
Al: 0.500 0.000 0.000
Cu: 0.000 0.000 0.500
Br: 0.500 0.500 0.500

Output
Space-group type = P4/mmm (123)
Total magnetic moment = 0.00 μB/cell

=====

Arrangement two

A PBEsol-optimized structure of Al2CuBr. Source: the Alexandria database, functional SCAN.

a = 6.714 Å, b = 6.714 Å, c = 6.714 Å
α = 90.00°, β = 90.00°, γ = 90.00°
Sites, in units of the cell vectors:
Al: 0.250 0.250 0.250
Al: 0.250 0.250 0.750
Al: 0.250 0.750 0.250
Al: 0.250 0.750 0.750
Al: 0.750 0.250 0.250
Al: 0.750 0.250 0.750
Al: 0.750 0.750 0.250
Al: 0.750 0.750 0.750
Cu: 0.000 0.000 0.000
Cu: 0.000 0.500 0.500
Cu: 0.500 0.000 0.500
Cu: 0.500 0.500 0.000
Br: 0.000 0.000 0.500
Br: 0.000 0.500 0.000
Br: 0.500 0.000 0.000
Br: 0.500 0.500 0.500

Output
Space-group type = Fm-3m (225)
Total magnetic moment = 0.00 μB/cell

=====

Which one is most stable, and which one is least stable? arrangement one is the most stable of them, while arrangement two is the least stable.

=====

Arrangement one

A PBEsol-optimized structure of AlBrF2. Source: the Alexandria database, functional SCAN.

a = 5.642 Å, b = 5.642 Å, c = 5.642 Å
α = 60.00°, β = 60.00°, γ = 60.00°
Sites, in units of the cell vectors:
Al: 0.125 0.125 0.125
Al: 0.875 0.875 0.875
Br: 0.375 0.375 0.375
Br: 0.625 0.625 0.625
F: 0.000 0.000 0.000
F: 0.000 0.000 0.500
F: 0.000 0.500 0.000
F: 0.500 0.000 0.000

Output
Space-group type = Fd-3m (227)
Total magnetic moment = 0.00 μB/cell

=====

Arrangement two

A PBEsol-optimized structure of AlBrF2. Source: the Alexandria database, functional SCAN.

a = 3.210 Å, b = 3.210 Å, c = 23.639 Å
α = 90.00°, β = 90.00°, γ = 120.00°
Sites, in units of the cell vectors:
Al: 0.000 0.000 0.000
Al: 0.333 0.667 0.667
Al: 0.667 0.333 0.333
Br: 0.000 0.000 0.500
Br: 0.333 0.667 0.167
Br: 0.667 0.333 0.833
F: 0.000 0.000 0.368
F: 0.000 0.000 0.632
F: 0.333 0.667 0.034
F: 0.333 0.667 0.299
F: 0.667 0.333 0.701
F: 0.667 0.333 0.966

Output
Space-group type = R-3m (166)
Total magnetic moment = 0.00 μB/cell

=====

Which one is most stable, and which one is least stable? arrangement one is the most stable of them, while arrangement two is the least stable.

=====

Arrangement one

A PBEsol-optimized structure of AlFeBr. Source: the Alexandria database, functional SCAN.

a = 6.197 Å, b = 6.197 Å, c = 6.197 Å
α = 90.00°, β = 90.00°, γ = 90.00°
Sites, in units of the cell vectors:
Al: 0.000 0.000 0.000
Al: 0.000 0.500 0.500
Al: 0.500 0.000 0.500
Al: 0.500 0.500 0.000
Fe: 0.250 0.250 0.750
Fe: 0.250 0.750 0.250
Fe: 0.750 0.250 0.250
Fe: 0.750 0.750 0.750
Br: 0.250 0.250 0.250
Br: 0.250 0.750 0.750
Br: 0.750 0.250 0.750
Br: 0.750 0.750 0.250

Output
Space-group type = F-43m (216)
Total magnetic moment = 8.37 μB/cell

=====

Arrangement two

A PBEsol-optimized structure of AlFeBr. Source: the Alexandria database, functional SCAN.

a = 4.264 Å, b = 4.264 Å, c = 3.040 Å
α = 90.00°, β = 90.00°, γ = 120.00°
Sites, in units of the cell vectors:
Al: 0.000 0.000 0.000
Fe: 0.333 0.667 0.500
Br: 0.667 0.333 0.500

Output
Space-group type = P-6m2 (187)
Total magnetic moment = 2.18 μB/cell

=====

Which one is most stable, and which one is least stable? arrangement two is the most stable of them, while arrangement one is the least stable.